# CoRe2 | Alexandria | meta-GGA SCAN | PBEsol geometry
# Calculated total energy in eV/atom: -53.076
# Total moment in μB/cell: 0.0
# DFT formation energy in eV per atom: 0.090
# Relative energy among the computed polymorphs in meV per atom: 46
data_CoRe2
_cell_length_a 7.1617
_cell_length_b 7.1617
_cell_length_c 2.6433
_cell_angle_alpha 90.00
_cell_angle_beta 90.00
_cell_angle_gamma 120.00
_symmetry_space_group_name_H-M 'P -6 2 m'
_symmetry_Int_Tables_number 189
_symmetry_space_group_name_Hall 'P -6 -2'
loop_
_atom_site_label
_atom_site_type_symbol
_atom_site_fract_x
_atom_site_fract_y
_atom_site_fract_z
Co1 Co 0.0000 0.0000 0.0000
Co2 Co 0.3333 0.6667 0.5000
Re1 Re 0.0000 0.2994 0.5000
Re2 Re 0.0000 0.6322 0.0000